[1]
This record from the Alexandria database describes K2Er2US6 after structural relaxation. The functional is PBE-GGA.

Structure (POSCAR):
```
K2Er2US6
1.0
3.4570 -5.9899 0.0000
3.4570 5.9899 0.0000
-2.3233 0.0000 7.5241
K Er U S
2 2 1 6
Direct
0.1682 0.8318 0.0000
0.8318 0.1682 0.0000
0.3335 0.6665 0.5000
0.6665 0.3335 0.5000
0.0000 0.0000 0.5000
0.0633 0.3962 0.6944
0.2636 0.2636 0.3061
0.3962 0.0633 0.6944
0.6038 0.9367 0.3056
0.7364 0.7364 0.6939
0.9367 0.6038 0.3056
```

Values from the calculation:
Formation energy (no corrections) (eV/atom): -1.7512
Final energy (eV per formula unit): -66.64
M_tot (μB/cell): 2.00

[2]
This record from the Alexandria database describes K3Er3VS8 after structural relaxation. The functional is PBE-GGA.

Structure (POSCAR):
```
K3Er3VS8
1.0
3.8752 2.2373 7.5089
-3.8752 2.2373 7.5089
0.0000 -4.4746 7.5089
K Er V S
3 3 1 8
Direct
0.0000 0.5000 0.5000
0.5000 0.0000 0.5000
0.5000 0.5000 0.0000
0.0000 0.0000 0.5000
0.0000 0.5000 0.0000
0.5000 0.0000 0.0000
0.5000 0.5000 0.5000
0.2339 0.2339 0.2339
0.2575 0.7141 0.7141
0.2859 0.2859 0.7425
0.2859 0.7425 0.2859
0.7141 0.2575 0.7141
0.7141 0.7141 0.2576
0.7425 0.2859 0.2859
0.7661 0.7661 0.7661
```

Values from the calculation:
Formation energy (no corrections) (eV/atom): -1.6124
Final energy (eV per formula unit): -83.31
M_tot (μB/cell): 1.00

[3]
This record from the Alexandria database describes K2ErVS4 after structural relaxation. The functional is PBE-GGA.

Structure (POSCAR):
```
K2ErVS4
1.0
7.1012 0.0000 0.0000
0.0000 7.1012 0.0000
0.0000 0.0000 9.5520
K Er V S
4 2 2 8
Direct
0.0000 0.0000 0.0000
0.0000 0.5000 0.2500
0.5000 0.0000 0.7500
0.5000 0.5000 0.5000
0.0000 0.5000 0.7500
0.5000 0.0000 0.2500
0.0000 0.0000 0.5000
0.5000 0.5000 0.0000
0.1664 0.2318 0.6164
0.2318 0.8336 0.3836
0.2682 0.6664 0.8836
0.3336 0.2682 0.1164
0.6664 0.7318 0.1164
0.7318 0.3336 0.8836
0.7682 0.1664 0.3836
0.8336 0.7682 0.6164
```

Values from the calculation:
Formation energy (no corrections) (eV/atom): -1.2752
Final energy (eV per formula unit): -42.59
M_tot (μB/cell): 4.00

[4]
This record from the Alexandria database describes KY4ErS8 after structural relaxation. The functional is PBE-GGA.

Structure (POSCAR):
```
KY4ErS8
1.0
4.1141 2.3753 6.6773
-4.1141 2.3753 6.6773
0.0000 -4.7505 6.6773
K Y Er S
1 4 1 8
Direct
0.0000 0.0000 0.0000
0.1099 0.6283 0.6283
0.2484 0.2484 0.2484
0.6283 0.1099 0.6283
0.6283 0.6283 0.1099
0.6282 0.6282 0.6282
0.3813 0.3813 0.3813
0.3823 0.3823 0.8503
0.3823 0.8503 0.3823
0.4238 0.8553 0.8553
0.8503 0.3823 0.3823
0.8553 0.4238 0.8553
0.8553 0.8553 0.4238
0.8577 0.8577 0.8577
```

Values from the calculation:
Formation energy (no corrections) (eV/atom): -1.9393
Final energy (eV per formula unit): -91.69
M_tot (μB/cell): 0.00

[5]
This record from the Alexandria database describes K3Y2ErS6 after structural relaxation. The functional is PBE-GGA.

Structure (POSCAR):
```
K3Y2ErS6
1.0
3.5013 -6.0646 0.0000
3.5013 6.0646 0.0000
-2.3343 0.0000 7.3695
K Y Er S
3 2 1 6
Direct
0.0000 0.0000 0.0000
0.3329 0.6671 0.0000
0.6671 0.3329 0.0000
0.1666 0.8334 0.5000
0.8334 0.1666 0.5000
0.5000 0.5000 0.5000
0.1020 0.4329 0.2986
0.2363 0.2363 0.7015
0.4329 0.1020 0.2986
0.5671 0.8980 0.7014
0.7637 0.7637 0.2985
0.8980 0.5671 0.7014
```

Values from the calculation:
Formation energy (no corrections) (eV/atom): -1.8920
Final energy (eV per formula unit): -68.25
M_tot (μB/cell): 0.00

[6]
This record from the Alexandria database describes KErZnS3 after structural relaxation. The functional is PBE-GGA.

Structure (POSCAR):
```
KErZnS3
1.0
8.7202 0.0000 0.0000
0.0000 3.9658 0.0000
-2.9112 0.0000 9.0348
K Er Zn S
2 2 2 6
Direct
0.2056 0.2500 0.2284
0.7944 0.7500 0.7716
0.3327 0.7500 0.8586
0.6673 0.2500 0.1414
0.0845 0.2500 0.6073
0.9155 0.7500 0.3927
0.1149 0.2500 0.8567
0.1999 0.7500 0.5377
0.4603 0.7500 0.1533
0.5397 0.2500 0.8467
0.8001 0.2500 0.4623
0.8851 0.7500 0.1433
```

Values from the calculation:
Formation energy (no corrections) (eV/atom): -1.4904
Final energy (eV per formula unit): -28.26
M_tot (μB/cell): 0.00

[7]
This record from the Alexandria database describes K3Er2ZrS6 after structural relaxation. The functional is PBE-GGA.

Structure (POSCAR):
```
K3Er2ZrS6
1.0
3.4028 -5.8937 0.0000
3.4028 5.8937 0.0000
-2.2711 0.0000 7.3849
K Er Zr S
3 2 1 6
Direct
0.0000 0.0000 0.0000
0.3312 0.6688 0.0000
0.6688 0.3312 0.0000
0.1665 0.8335 0.5000
0.8335 0.1665 0.5000
0.5000 0.5000 0.5000
0.1098 0.4331 0.2994
0.2440 0.2440 0.7012
0.4331 0.1098 0.2994
0.5669 0.8902 0.7006
0.7560 0.7560 0.2988
0.8902 0.5669 0.7006
```

Values from the calculation:
Formation energy (no corrections) (eV/atom): -1.7306
Final energy (eV per formula unit): -66.50
M_tot (μB/cell): 0.00

[8]
This record from the Alexandria database describes K4Er3ZrS8 after structural relaxation. The functional is PBE-GGA.

Structure (POSCAR):
```
K4Er3ZrS8
1.0
3.9548 2.2833 7.3697
-3.9548 2.2833 7.3697
0.0000 -4.5667 7.3697
K Er Zr S
4 3 1 8
Direct
0.0000 0.0000 0.0000
0.0000 0.5000 0.5000
0.5000 0.0000 0.5000
0.5000 0.5000 0.0000
0.0000 0.0000 0.5000
0.0000 0.5000 0.0000
0.5000 0.0000 0.0000
0.5000 0.5000 0.5000
0.2342 0.2342 0.2342
0.2427 0.7285 0.7285
0.2715 0.2715 0.7573
0.2715 0.7573 0.2715
0.7285 0.2427 0.7285
0.7285 0.7285 0.2427
0.7573 0.2715 0.2715
0.7658 0.7658 0.7658
```

Values from the calculation:
Formation energy (no corrections) (eV/atom): -1.7697
Final energy (eV per formula unit): -87.96
M_tot (μB/cell): 0.01

final energy of number 2 (K3Er3VS8)?
-83.31 eV per formula unit

Which value of formation energy (no corrections) does entry 2 give?
-1.6124 eV/atom